No. 1
AuSeS4, relaxed, DFT PBE; final energy = -44.89 eV for the cell shown; size of the total moment = 0.0 Bohr magnetons per cell; theoretical density = 4167 kg/m3; space-group type = No. 2
1.0
5.464 0.000 0.000
0.218 7.216 0.000
0.157 2.838 8.170
Au Se S
2 2 8
Direct
0.202 0.137 0.238 Au
0.798 0.863 0.762 Au
0.202 0.632 0.250 Se
0.798 0.368 0.750 Se
0.149 0.761 0.473 S
0.183 0.979 0.036 S
0.211 0.285 0.446 S
0.323 0.473 0.021 S
0.677 0.527 0.979 S
0.789 0.715 0.554 S
0.817 0.021 0.964 S
0.851 0.239 0.527 S

No. 2
PmSc2Tc, relaxed, DFT PBE; ΔE_f = 5.1 kJ per mole of atoms; final energy = -27.57 eV for the cell shown; size of the total moment = 0.0 Bohr magnetons per cell; theoretical density = 5907 kg/m3; space-group type = No. 166
1.0
1.656 0.956 9.856
-1.656 0.956 9.856
0.000 -1.912 9.856
Pm Sc Tc
1 2 1
Direct
0.000 0.000 0.000 Pm
0.231 0.231 0.231 Sc
0.769 0.769 0.769 Sc
0.500 0.500 0.500 Tc

No. 3
ZrCoHg, relaxed, DFT PBE; ΔE_f = 7.0 kJ per mole of atoms; final energy = -15.74 eV for the cell shown; size of the total moment = 0.9 Bohr magnetons per cell; theoretical density = 10790 kg/m3; space-group type = No. 156
1.0
4.578 0.000 0.000
-2.289 3.965 0.000
0.000 0.000 2.973
Zr Co Hg
1 1 1
Direct
0.000 0.000 0.000 Zr
0.667 0.333 0.378 Co
0.333 0.667 0.496 Hg

No. 4
Ho5ScCd6, relaxed, DFT PBE; ΔE_f = -29.8 kJ per mole of atoms; final energy = -38.42 eV for the cell shown; size of the total moment = 0.0 Bohr magnetons per cell; theoretical density = 8453 kg/m3; space-group type = No. 65
1.0
2.607 -7.850 0.000
2.607 7.850 0.000
0.000 0.000 7.411
Ho Sc Cd
5 1 6
Direct
0.000 0.000 0.000 Ho
0.331 0.669 0.000 Ho
0.334 0.666 0.500 Ho
0.666 0.334 0.500 Ho
0.669 0.331 0.000 Ho
0.000 0.000 0.500 Sc
0.163 0.837 0.256 Cd
0.163 0.837 0.744 Cd
0.500 0.500 0.257 Cd
0.500 0.500 0.743 Cd
0.837 0.163 0.256 Cd
0.837 0.163 0.744 Cd

No. 5
Ho2Al3Si2, relaxed, DFT PBE; final energy = -34.14 eV for the cell shown; size of the total moment = 0.0 Bohr magnetons per cell; theoretical density = 5577 kg/m3; space-group type = No. 65
1.0
1.876 -9.242 0.000
1.876 9.242 0.000
0.000 0.000 4.010
Ho Al Si
2 3 2
Direct
0.164 0.836 0.000 Ho
0.836 0.164 0.000 Ho
0.000 0.000 0.000 Al
0.429 0.571 0.500 Al
0.571 0.429 0.500 Al
0.290 0.710 0.500 Si
0.710 0.290 0.500 Si

No. 6
TiTcP, relaxed, DFT PBE; ΔE_f = -72.9 kJ per mole of atoms; final energy = -51.87 eV for the cell shown; size of the total moment = 0.0 Bohr magnetons per cell; theoretical density = 7051 kg/m3; space-group type = No. 46
1.0
-2.510 2.876 2.885
2.510 -2.876 2.885
2.510 2.876 -2.885
Ti Tc P
2 2 2
Direct
0.155 0.250 0.405 Ti
0.845 0.750 0.595 Ti
0.154 0.586 0.069 Tc
0.517 0.086 0.931 Tc
0.654 0.154 0.500 P
0.654 0.654 0.000 P